This record from the Alexandria database describes an optimized crystal structure of YMg2Te. The functional is PBE.

## Properties
As for the magnetic moment: 0.0 μB/f.u. The density of states at the Fermi level comes out at 2.286 states/eV per cell. For the formation energy from raw total energies, the calculation gives -182 kJ/mol of formula units.

Lattice parameters (Å, degrees): 4.482 4.482 9.980 90.00 90.00 90.00
Space group I-4m2 (No. 119)
Unique sites:
Y1 0.000 0.000 0.000 x2
Mg1 0.000 0.000 0.500 x2
Mg2 0.000 0.500 0.750 x2
Te1 0.000 0.500 0.250 x2

=====

This record from the Alexandria database describes an optimized crystal structure of Y2MgTe2. The functional is PBE.

## Properties
As for the magnetic moment: 0.4 μB/f.u. The energy above the most stable polymorph in this dataset comes out at 0.060 eV per atom. The density of states at the Fermi level comes out at 9.064 states/eV per cell. For the formation energy from raw total energies, the calculation gives -393 kJ/mol of formula units.

Lattice parameters (Å, degrees): 8.476 8.476 3.976 90.00 90.00 90.00
Space group P4/mbm (No. 127)
Unique sites:
Y1 0.147 0.353 0.000 x4
Mg1 0.000 0.000 0.000 x2
Te1 0.151 0.651 0.500 x4

=====

This record from the Alexandria database describes an optimized crystal structure of YMg2Te2. The functional is PBE.

## Properties
As for the magnetic moment: 0.0 μB/f.u. The density of states at the Fermi level comes out at 10.477 states/eV per cell. For the formation energy from raw total energies, the calculation gives -249 kJ/mol of formula units.

Lattice parameters (Å, degrees): 4.044 4.044 16.685 90.00 90.00 90.00
Space group I4/mmm (No. 139)
Unique sites:
Y1 0.000 0.000 0.000 x2
Mg1 0.000 0.500 0.250 x4
Te1 0.000 0.000 0.401 x4